(1)
Material: SmDySi
Method: DFT, GGA-PBE
State: relaxed

Lattice parameters (Å, degrees): 6.931 6.931 6.931 90.00 90.00 90.00
Space group F-43m (No. 216)
One atom of each set of equivalent atoms:
1 Sm 0.000 0.000 0.000
2 Dy 0.000 0.000 0.500
3 Si 0.250 0.250 0.750

Results
E_form (uncorrected)	-0.46	eV/atom
volume	27.74	Å³ per atom
crystal system	cubic



(2)
Material: SmDySi4
Method: DFT, GGA-PBE
State: relaxed

Lattice parameters (Å, degrees): 8.320 14.589 4.102 90.00 90.00 90.00
Space group Pbam (No. 55)
One atom of each set of equivalent atoms:
1 Sm 0.110 0.134 0.000
2 Dy 0.141 0.413 0.000
3 Si 0.036 0.289 0.500
4 Si 0.123 0.564 0.500
5 Si 0.128 0.967 0.500
6 Si 0.183 0.806 0.500

Results
E_form (uncorrected)	-0.43	eV/atom
volume	20.75	Å³ per atom
crystal system	orthorhombic



(3)
Material: Sm2DySi
Method: DFT, GGA-PBE
State: relaxed

Lattice parameters (Å, degrees): 3.7523 3.7523 29.8712 90.00 90.00 120.00
Space group R-3m (No. 166, hexagonal axes)
One atom of each set of equivalent atoms:
1 Sm 0.0000 0.0000 0.2314
2 Dy 0.0000 0.0000 0.0000
3 Si 0.0000 0.0000 0.5000

Results
E_form (uncorrected)	-0.11	eV/atom
volume	30.35	Å³ per atom
crystal system	trigonal



(4)
Material: SmDy2Si2
Method: DFT, GGA-PBE
State: relaxed

Lattice parameters (Å, degrees): 7.611 7.611 4.162 90.00 90.00 90.00
Space group P4/mbm (No. 127)
One atom of each set of equivalent atoms:
1 Sm 0.000 0.000 0.000
2 Dy 0.176 0.324 0.500
3 Si 0.114 0.614 0.000

Results
E_form (uncorrected)	-0.65	eV/atom
volume	24.11	Å³ per atom
crystal system	tetragonal



(5)
Material: Dy6Si2Sn
Method: DFT, GGA-PBE
State: relaxed

Lattice parameters (Å, degrees): 9.474 9.661 10.282 90.00 90.00 90.00
Space group Immm (No. 71)
One atom of each set of equivalent atoms:
1 Dy 0.000 0.206 0.240
2 Dy 0.204 0.500 0.179
3 Dy 0.222 0.314 0.500
4 Si 0.000 0.372 0.000
5 Si 0.000 0.500 0.385
6 Sn 0.000 0.000 0.000
7 Sn 0.000 0.000 0.500

Results
E_form (uncorrected)	-0.60	eV/atom
volume	26.14	Å³ per atom
crystal system	orthorhombic



(6)
Material: Dy5Si2Sn
Method: DFT, GGA-PBE
State: relaxed

Lattice parameters (Å, degrees): 7.759 7.759 13.652 90.00 90.00 90.00
Space group I4/mcm (No. 140)
One atom of each set of equivalent atoms:
1 Dy 0.000 0.000 0.000
2 Dy 0.162 0.338 0.140
3 Si 0.137 0.363 0.500
4 Sn 0.000 0.000 0.250

Results
E_form (uncorrected)	-0.69	eV/atom
volume	25.68	Å³ per atom
crystal system	tetragonal



(7)
Material: Dy3SiSn
Method: DFT, GGA-PBE
State: relaxed

Lattice parameters (Å, degrees): 4.540 6.838 8.958 90.00 90.00 90.00
Space group Pmmn (No. 59, origin choice 2)
One atom of each set of equivalent atoms:
1 Dy 0.250 0.007 0.168
2 Dy 0.250 0.250 0.576
3 Si 0.250 0.250 0.898
4 Sn 0.250 0.750 0.646

Results
E_form (uncorrected)	-0.62	eV/atom
volume	27.81	Å³ per atom
crystal system	orthorhombic



(8)
Material: Dy2SiSn
Method: DFT, GGA-PBE
State: relaxed

Lattice parameters (Å, degrees): 5.967 4.045 8.567 90.00 107.67 90.00
Space group P2_1/m (No. 11)
One atom of each set of equivalent atoms:
1 Dy 0.189 0.250 0.419
2 Dy 0.274 0.750 0.059
3 Si 0.117 0.250 0.795
4 Sn 0.381 0.750 0.709

Results
E_form (uncorrected)	-0.73	eV/atom
volume	24.62	Å³ per atom
crystal system	monoclinic



(9)
Material: DySiSn
Method: DFT, GGA-PBE
State: relaxed

Lattice parameters (Å, degrees): 4.286 16.331 3.955 90.00 90.00 90.00
Space group Cmcm (No. 63)
One atom of each set of equivalent atoms:
1 Dy 0.000 0.093 0.250
2 Si 0.000 0.454 0.250
3 Sn 0.000 0.258 0.750

Results
E_form (uncorrected)	-0.56	eV/atom
volume	23.07	Å³ per atom
crystal system	orthorhombic



(10)
Material: Dy8SiSn2
Method: DFT, GGA-PBE
State: relaxed

Lattice parameters (Å, degrees): 19.370 4.998 6.665 90.00 104.57 90.00
Space group C2/m (No. 12)
One atom of each set of equivalent atoms:
1 Dy 0.021 0.000 0.279
2 Dy 0.089 0.500 0.963
3 Dy 0.151 0.500 0.501
4 Dy 0.220 0.000 0.821
5 Si 0.000 0.500 0.500
6 Sn 0.181 0.000 0.257

Results
E_form (uncorrected)	-0.39	eV/atom
volume	28.39	Å³ per atom
crystal system	monoclinic



(11)
Material: Dy12Si5Sn
Method: DFT, GGA-PBE
State: relaxed

Lattice parameters (Å, degrees): 9.460 9.521 10.243 90.00 90.00 90.00
Space group Immm (No. 71)
One atom of each set of equivalent atoms:
1 Dy 0.000 0.198 0.233
2 Dy 0.204 0.500 0.179
3 Dy 0.229 0.319 0.500
4 Si 0.000 0.000 0.000
5 Si 0.000 0.372 0.000
6 Si 0.000 0.500 0.384
7 Sn 0.000 0.000 0.500

Results
E_form (uncorrected)	-0.59	eV/atom
volume	25.63	Å³ per atom
crystal system	orthorhombic



(12)
Material: Dy5Si2Sn2
Method: DFT, GGA-PBE
State: relaxed

Lattice parameters (Å, degrees): 15.226 7.825 7.797 90.00 90.00 90.00
Space group Cmce (No. 64)
One atom of each set of equivalent atoms:
1 Dy 0.000 0.000 0.000
2 Dy 0.128 0.176 0.325
3 Si 0.000 0.120 0.621
4 Sn 0.213 0.000 0.000

Results
E_form (uncorrected)	-0.73	eV/atom
volume	25.80	Å³ per atom
crystal system	orthorhombic